! Sr3CaPb (meta-GGA SCAN, single point on PBEsol structure); values from VASP
! formation energy from the elements	0.661	eV per atom
! raw total energy	-148.96	eV for the cell shown
! space-group type	Pm-3m (221)
! total moment	1.8	μB per formula unit
&SYSTEM
  ibrav = 0, nat = 5, ntyp = 3
/
ATOMIC_SPECIES
Sr 87.62 Sr.upf
Ca 40.08 Ca.upf
Pb 207.20 Pb.upf
ATOMIC_POSITIONS crystal
Sr 0.0000 0.0000 0.5000
Sr 0.0000 0.5000 0.0000
Sr 0.5000 0.0000 0.0000
Ca 0.0000 0.0000 0.0000
Pb 0.5000 0.5000 0.5000
CELL_PARAMETERS angstrom
6.2663 0.0000 0.0000
0.0000 6.2663 0.0000
0.0000 0.0000 6.2663

=====

! SrTeRu2 (meta-GGA SCAN, single point on PBEsol structure); values from VASP
! raw total energy	-126.88	eV for the cell shown
! space-group type	F-43m (216)
! total moment	3.8	μB per formula unit
! formation energy from raw total energies	0.58	eV/atom
&SYSTEM
  ibrav = 0, nat = 4, ntyp = 3
/
ATOMIC_SPECIES
Sr 87.62 Sr.upf
Te 127.60 Te.upf
Ru 101.07 Ru.upf
ATOMIC_POSITIONS crystal
Sr 0.0000 0.0000 0.0000
Te 0.7500 0.7500 0.7500
Ru 0.2500 0.2500 0.2500
Ru 0.5000 0.5000 0.5000
CELL_PARAMETERS angstrom
0.0000 3.4117 3.4117
3.4117 0.0000 3.4117
3.4117 3.4117 0.0000

=====

! LiCaFe (meta-GGA SCAN, single point on PBEsol structure); values from VASP
! formation energy from the elements	0.927	eV per atom
! raw total energy	-27.40	eV for the cell shown
! space-group type	F-43m (216)
! total moment	3.1	μB per formula unit
&SYSTEM
  ibrav = 0, nat = 3, ntyp = 3
/
ATOMIC_SPECIES
Li 6.94 Li.upf
Ca 40.08 Ca.upf
Fe 55.84 Fe.upf
ATOMIC_POSITIONS crystal
Li 0.0000 0.0000 0.0000
Ca 0.7500 0.7500 0.7500
Fe 0.5000 0.5000 0.5000
CELL_PARAMETERS angstrom
0.0000 3.3493 3.3493
3.3493 0.0000 3.3493
3.3493 3.3493 0.0000

=====

! LaTa2TcRu (meta-GGA SCAN, single point on PBEsol structure); values from VASP
! formation energy from the elements	1.263	eV per atom
! raw total energy	-239.84	eV for the cell shown
! space-group type	P4/mmm (123)
! total moment	1.5	μB per formula unit
&SYSTEM
  ibrav = 0, nat = 5, ntyp = 4
/
ATOMIC_SPECIES
La 138.91 La.upf
Ta 180.95 Ta.upf
Tc 98.00 Tc.upf
Ru 101.07 Ru.upf
ATOMIC_POSITIONS crystal
La 0.0000 0.0000 0.0000
Ta 0.0000 0.5000 0.5000
Ta 0.5000 0.0000 0.5000
Tc 0.5000 0.5000 0.0000
Ru 0.0000 0.0000 0.5000
CELL_PARAMETERS angstrom
4.7197 0.0000 0.0000
0.0000 4.7197 0.0000
0.0000 0.0000 5.1629

=====

! CaZn5 (meta-GGA SCAN, single point on PBEsol structure); values from VASP
! formation energy from the elements	-0.064	eV per atom
! raw total energy	-77.62	eV for the cell shown
! space-group type	P4/mmm (123)
! total moment	0.0	μB per formula unit
&SYSTEM
  ibrav = 0, nat = 6, ntyp = 2
/
ATOMIC_SPECIES
Ca 40.08 Ca.upf
Zn 65.41 Zn.upf
ATOMIC_POSITIONS crystal
Ca 0.0000 0.0000 0.0000
Zn 0.0000 0.0000 0.3544
Zn 0.0000 0.0000 0.6456
Zn 0.5000 0.5000 0.2166
Zn 0.5000 0.5000 0.5000
Zn 0.5000 0.5000 0.7834
CELL_PARAMETERS angstrom
3.2674 0.0000 0.0000
0.0000 3.2674 0.0000
0.0000 0.0000 9.5187

=====

! BaNa2 (meta-GGA SCAN, single point on PBEsol structure); values from VASP
! formation energy from the elements	-0.024	eV per atom
! raw total energy	-192.21	eV for the cell shown
! space-group type	P6_3/mmc (194)
! total moment	0.0	μB per formula unit
&SYSTEM
  ibrav = 0, nat = 12, ntyp = 2
/
ATOMIC_SPECIES
Ba 137.33 Ba.upf
Na 22.99 Na.upf
ATOMIC_POSITIONS crystal
Ba 0.3333 0.6667 0.0614
Ba 0.3333 0.6667 0.4386
Ba 0.6667 0.3333 0.5614
Ba 0.6667 0.3333 0.9386
Na 0.0000 0.0000 0.0000
Na 0.0000 0.0000 0.5000
Na 0.1693 0.3385 0.7500
Na 0.1693 0.8307 0.7500
Na 0.3385 0.1693 0.2500
Na 0.6615 0.8307 0.7500
Na 0.8307 0.1693 0.2500
Na 0.8307 0.6615 0.2500
CELL_PARAMETERS angstrom
7.1950 0.0000 0.0000
-3.5975 6.2310 0.0000
0.0000 0.0000 11.6830